A.
A geometry-optimized ScPPbCl2 structure, computed with PBE.

POSCAR file:
```
ScPPbCl2
1.0
5.310 0.000 0.000
0.000 5.310 0.000
0.000 0.000 5.411
Cl Sc Pb P
2 1 1 1
direct
0.500 0.000 0.000 Cl
0.000 0.500 0.000 Cl
0.500 0.500 0.500 Sc
0.000 0.000 0.000 Pb
0.000 0.000 0.500 P
```

Summary:
Magnetic moment: 0.158 μB per atom

***

B.
A geometry-optimized ScPPbCl2 structure, computed with PBE.

POSCAR file:
```
ScPPbCl2
1.0
-3.558 3.343 1.918
1.673 -1.012 4.868
3.941 4.442 -0.431
Pb Cl Sc P
1 2 1 1
direct
0.500 0.500 0.500 Pb
0.000 0.500 0.000 Cl
0.500 0.000 0.000 Cl
0.000 0.000 0.000 Sc
0.000 0.000 0.500 P
```

Summary:
Magnetic moment: 0.000 μB per atom

***

It is B that is most stable; the runner-up trails by 0.726 eV/atom.

***

A.
A geometry-optimized P2PbSeCl structure, computed with PBE.

POSCAR file:
```
P2PbSeCl
1.0
4.711 0.000 0.000
0.000 4.711 0.000
0.000 0.000 6.719
Se P Cl Pb
1 2 1 1
direct
0.000 0.000 0.000 Se
0.000 0.500 0.000 P
0.500 0.000 0.000 P
0.000 0.000 0.500 Cl
0.500 0.500 0.500 Pb
```

Summary:
Magnetic moment: 0.000 μB per atom

***

B.
A geometry-optimized P2PbSeCl structure, computed with PBE.

POSCAR file:
```
P2PbSeCl
1.0
5.506 0.000 0.000
0.000 5.506 0.000
0.000 0.000 5.288
Pb P Cl Se
1 2 1 1
direct
0.000 0.000 0.000 Pb
0.500 0.000 0.000 P
0.000 0.500 0.000 P
0.000 0.000 0.500 Cl
0.500 0.500 0.500 Se
```

Summary:
Magnetic moment: 0.279 μB per atom

***

It is A that is most stable; the runner-up trails by 0.432 eV/atom.

***

A.
A geometry-optimized SiPPbCl2 structure, computed with PBE.

POSCAR file:
```
SiPPbCl2
1.0
5.635 0.000 0.000
0.000 5.635 0.000
0.000 0.000 5.877
P Cl Si Pb
1 2 1 1
direct
0.000 0.000 0.500 P
0.000 0.500 0.000 Cl
0.500 0.000 0.000 Cl
0.500 0.500 0.500 Si
0.000 0.000 0.000 Pb
```

Summary:
Magnetic moment: 0.119 μB per atom

***

B.
A geometry-optimized SiPPbCl2 structure, computed with PBE.

POSCAR file:
```
SiPPbCl2
1.0
5.089 0.000 0.000
0.000 5.089 0.000
0.000 0.000 5.167
Cl Pb P Si
2 1 1 1
direct
0.000 0.500 0.000 Cl
0.500 0.000 0.000 Cl
0.500 0.500 0.500 Pb
0.000 0.000 0.500 P
0.000 0.000 0.000 Si
```

Summary:
Magnetic moment: 0.000 μB per atom

***

It is B that is most stable; the runner-up trails by 0.650 eV/atom.

***

A.
A geometry-optimized SnPPbCl2 structure, computed with PBE.

POSCAR file:
```
SnPPbCl2
1.0
-0.869 2.028 5.366
-5.192 -2.586 0.137
2.772 -5.434 2.502
Cl Pb P Sn
2 1 1 1
direct
0.500 0.000 0.000 Cl
0.000 0.500 0.000 Cl
0.000 0.000 0.000 Pb
0.000 0.000 0.500 P
0.500 0.500 0.500 Sn
```

Summary:
Magnetic moment: 0.194 μB per atom

***

B.
A geometry-optimized SnPPbCl2 structure, computed with PBE.

POSCAR file:
```
SnPPbCl2
1.0
-5.796 -3.443 1.563
0.501 -3.535 -5.928
4.225 -5.469 3.618
P Sn Cl Pb
1 1 2 1
direct
0.000 0.000 0.500 P
0.000 0.000 0.000 Sn
0.500 0.000 0.000 Cl
0.000 0.500 0.000 Cl
0.500 0.500 0.500 Pb
```

Summary:
Magnetic moment: 0.200 μB per atom

***

It is A that is most stable; the runner-up trails by 0.713 eV/atom.

***

A.
A geometry-optimized SnP2PbCl structure, computed with PBE.

POSCAR file:
```
SnP2PbCl
1.0
-5.241 -0.494 1.834
-1.688 -1.260 -5.162
0.883 -5.478 1.048
P Sn Pb Cl
2 1 1 1
direct
0.000 0.500 0.000 P
0.500 0.000 0.000 P
0.500 0.500 0.500 Sn
0.000 0.000 0.000 Pb
0.000 0.000 0.500 Cl
```

Summary:
Magnetic moment: 0.174 μB per atom

***

B.
A geometry-optimized SnP2PbCl structure, computed with PBE.

POSCAR file:
```
SnP2PbCl
1.0
-0.576 5.826 3.312
-4.962 -2.605 3.719
4.605 -2.173 4.623
Pb P Cl Sn
1 2 1 1
direct
0.500 0.500 0.500 Pb
0.500 0.000 0.000 P
0.000 0.500 0.000 P
0.000 0.000 0.500 Cl
0.000 0.000 0.000 Sn
```

Summary:
Magnetic moment: 0.583 μB per atom

***

It is A that is most stable; the runner-up trails by 0.729 eV/atom.

***

A.
A geometry-optimized SrP2PbCl structure, computed with PBE.

POSCAR file:
```
SrP2PbCl
1.0
5.664 0.000 0.000
0.000 5.664 0.000
0.000 0.000 5.416
Sr P Cl Pb
1 2 1 1
direct
0.000 0.000 0.000 Sr
0.500 0.000 0.000 P
0.000 0.500 0.000 P
0.000 0.000 0.500 Cl
0.500 0.500 0.500 Pb
```

Summary:
Magnetic moment: 0.210 μB per atom

***

B.
A geometry-optimized SrP2PbCl structure, computed with PBE.

POSCAR file:
```
SrP2PbCl
1.0
-1.849 4.991 -1.147
-4.441 -2.170 -2.283
-2.618 0.165 4.937
Cl P Pb Sr
1 2 1 1
direct
0.000 0.000 0.500 Cl
0.000 0.500 0.000 P
0.500 0.000 0.000 P
0.000 0.000 0.000 Pb
0.500 0.500 0.500 Sr
```

Summary:
Magnetic moment: 0.119 μB per atom

***

It is B that is most stable; the runner-up trails by 0.359 eV/atom.

***

A.
A geometry-optimized SrPPbCl2 structure, computed with PBE.

POSCAR file:
```
SrPPbCl2
1.0
-2.212 0.652 -4.873
2.741 -4.272 -1.816
-4.753 -3.754 1.656
P Sr Pb Cl
1 1 1 2
direct
0.000 0.000 0.500 P
0.000 0.000 0.000 Sr
0.500 0.500 0.500 Pb
0.500 0.000 0.000 Cl
0.000 0.500 0.000 Cl
```

Summary:
Magnetic moment: 0.202 μB per atom

***

B.
A geometry-optimized SrPPbCl2 structure, computed with PBE.

POSCAR file:
```
SrPPbCl2
1.0
-3.418 4.062 -2.107
-4.484 -2.449 2.552
1.016 3.545 5.186
P Sr Cl Pb
1 1 2 1
direct
0.000 0.000 0.500 P
0.500 0.500 0.500 Sr
0.000 0.500 0.000 Cl
0.500 0.000 0.000 Cl
0.000 0.000 0.000 Pb
```

Summary:
Magnetic moment: 0.097 μB per atom

***

It is A that is most stable; the runner-up trails by 0.083 eV/atom.

***

A.
A geometry-optimized TcPPbCl2 structure, computed with PBE.

POSCAR file:
```
TcPPbCl2
1.0
-2.582 0.388 4.211
-3.155 -3.463 -1.615
2.631 -3.291 1.917
Cl Tc P Pb
2 1 1 1
direct
0.500 0.000 0.000 Cl
0.000 0.500 0.000 Cl
0.000 0.000 0.000 Tc
0.000 0.000 0.500 P
0.500 0.500 0.500 Pb
```

Summary:
Magnetic moment: 0.130 μB per atom

***

B.
A geometry-optimized TcPPbCl2 structure, computed with PBE.

POSCAR file:
```
TcPPbCl2
1.0
5.389 0.000 0.000
0.000 5.389 0.000
0.000 0.000 5.717
P Cl Tc Pb
1 2 1 1
direct
0.000 0.000 0.500 P
0.000 0.500 0.000 Cl
0.500 0.000 0.000 Cl
0.500 0.500 0.500 Tc
0.000 0.000 0.000 Pb
```

Summary:
Magnetic moment: 0.911 μB per atom

***

It is A that is most stable; the runner-up trails by 0.883 eV/atom.

***

A.
A geometry-optimized TcP2PbCl structure, computed with PBE.

POSCAR file:
```
TcP2PbCl
1.0
-2.990 4.061 1.502
-4.293 -2.543 -1.670
-0.561 -2.169 4.748
Cl P Pb Tc
1 2 1 1
direct
0.000 0.000 0.500 Cl
0.000 0.500 0.000 P
0.500 0.000 0.000 P
0.000 0.000 0.000 Pb
0.500 0.500 0.500 Tc
```

Summary:
Magnetic moment: 0.804 μB per atom

***

B.
A geometry-optimized TcP2PbCl structure, computed with PBE.

POSCAR file:
```
TcP2PbCl
1.0
4.612 0.000 0.000
0.000 4.612 0.000
0.000 0.000 5.938
P Cl Pb Tc
2 1 1 1
direct
0.500 0.000 0.000 P
0.000 0.500 0.000 P
0.000 0.000 0.500 Cl
0.500 0.500 0.500 Pb
0.000 0.000 0.000 Tc
```

Summary:
Magnetic moment: 0.000 μB per atom

***

It is B that is most stable; the runner-up trails by 1.266 eV/atom.

***

A.
A geometry-optimized TePPbCl2 structure, computed with PBE.

POSCAR file:
```
TePPbCl2
1.0
-0.003 3.345 4.093
3.707 -2.916 2.387
4.064 3.097 -2.528
Cl Pb Te P
2 1 1 1
direct
0.500 0.000 0.000 Cl
0.000 0.500 0.000 Cl
0.000 0.000 0.000 Pb
0.500 0.500 0.500 Te
0.000 0.000 0.500 P
```

Summary:
Magnetic moment: 0.123 μB per atom

***

B.
A geometry-optimized TePPbCl2 structure, computed with PBE.

POSCAR file:
```
TePPbCl2
1.0
5.409 0.000 0.000
0.000 5.409 0.000
0.000 0.000 5.511
Cl Pb P Te
2 1 1 1
direct
0.500 0.000 0.000 Cl
0.000 0.500 0.000 Cl
0.500 0.500 0.500 Pb
0.000 0.000 0.500 P
0.000 0.000 0.000 Te
```

Summary:
Magnetic moment: 0.000 μB per atom

***

It is B that is most stable; the runner-up trails by 0.080 eV/atom.

***

A.
A geometry-optimized P2PbWCl structure, computed with PBE.

POSCAR file:
```
P2PbWCl
1.0
-1.703 -4.351 0.570
4.090 -1.352 1.896
-1.724 1.282 4.635
Pb W P Cl
1 1 2 1
direct
0.500 0.500 0.500 Pb
0.000 0.000 0.000 W
0.500 0.000 0.000 P
0.000 0.500 0.000 P
0.000 0.000 0.500 Cl
```

Summary:
Magnetic moment: 0.000 μB per atom

***

B.
A geometry-optimized P2PbWCl structure, computed with PBE.

POSCAR file:
```
P2PbWCl
1.0
-2.769 1.837 4.174
-3.763 -3.679 -0.878
2.502 -3.301 3.113
P Cl W Pb
2 1 1 1
direct
0.000 0.500 0.000 P
0.500 0.000 0.000 P
0.000 0.000 0.500 Cl
0.500 0.500 0.500 W
0.000 0.000 0.000 Pb
```

Summary:
Magnetic moment: 0.604 μB per atom

***

It is A that is most stable; the runner-up trails by 1.593 eV/atom.

***

A.
A geometry-optimized ZnPPbCl2 structure, computed with PBE.

POSCAR file:
```
ZnPPbCl2
1.0
-3.881 1.175 3.760
1.604 -4.349 3.015
3.653 3.256 2.752
Cl Pb P Zn
2 1 1 1
direct
0.500 0.000 0.000 Cl
0.000 0.500 0.000 Cl
0.000 0.000 0.000 Pb
0.000 0.000 0.500 P
0.500 0.500 0.500 Zn
```

Summary:
Magnetic moment: 0.398 μB per atom

***

B.
A geometry-optimized ZnPPbCl2 structure, computed with PBE.

POSCAR file:
```
ZnPPbCl2
1.0
5.032 0.000 0.000
0.000 5.032 0.000
0.000 0.000 5.166
Pb P Cl Zn
1 1 2 1
direct
0.500 0.500 0.500 Pb
0.000 0.000 0.500 P
0.000 0.500 0.000 Cl
0.500 0.000 0.000 Cl
0.000 0.000 0.000 Zn
```

Summary:
Magnetic moment: 0.150 μB per atom

***

It is B that is most stable; the runner-up trails by 0.344 eV/atom.

***

A.
A geometry-optimized ZnP2PbCl structure, computed with PBE.

POSCAR file:
```
ZnP2PbCl
1.0
-4.248 0.323 -2.208
-2.226 -0.281 4.241
0.182 5.583 0.466
P Cl Pb Zn
2 1 1 1
direct
0.000 0.500 0.000 P
0.500 0.000 0.000 P
0.000 0.000 0.500 Cl
0.500 0.500 0.500 Pb
0.000 0.000 0.000 Zn
```

Summary:
Magnetic moment: 0.120 μB per atom

***

B.
A geometry-optimized ZnP2PbCl structure, computed with PBE.

POSCAR file:
```
ZnP2PbCl
1.0
-3.875 0.934 3.864
3.749 -0.934 3.986
1.305 5.328 0.021
Zn P Cl Pb
1 2 1 1
direct
0.500 0.500 0.500 Zn
0.500 0.000 0.000 P
0.000 0.500 0.000 P
0.000 0.000 0.500 Cl
0.000 0.000 0.000 Pb
```

Summary:
Magnetic moment: 0.631 μB per atom

***

It is A that is most stable; the runner-up trails by 0.568 eV/atom.

***

A.
A geometry-optimized PPd2Cl structure, computed with PBE.

POSCAR file:
```
PPd2Cl
1.0
0.000 3.152 3.152
3.152 0.000 3.152
3.152 3.152 0.000
Pd P Cl
2 1 1
direct
0.750 0.750 0.750 Pd
0.250 0.250 0.250 Pd
0.000 0.000 0.000 P
0.500 0.500 0.500 Cl
```

Summary:
Magnetic moment: 0.000 μB per atom

***

B.
A geometry-optimized PPd2Cl structure, computed with PBE.

POSCAR file:
```
PPd2Cl
1.0
6.224 0.000 0.000
0.000 6.224 0.000
3.112 3.112 4.111
P Pd Cl
2 4 2
direct
0.250 0.750 0.500 P
0.500 0.500 0.000 P
0.875 0.827 0.750 Pd
0.173 0.625 0.250 Pd
0.577 0.125 0.250 Pd
0.375 0.423 0.750 Pd
0.000 0.000 0.000 Cl
0.750 0.250 0.500 Cl
```

Summary:
Magnetic moment: 0.000 μB per atom

***

It is B that is most stable; the runner-up trails by 0.337 eV/atom.